[1]
Y2CoNi: optimized geometry, GGA-PBEsol. Values from VASP.

## Properties
SG = No. 160
V = 21.535 Å³/atom
Formation enthalpy at 0 K = -23.5 kJ per mole of atoms
VASP energy = -7.13 eV/atom
Size of the total moment = 0.00 μB per formula unit

```
&SYSTEM
  ibrav = 0, nat = 4, ntyp = 3
/
ATOMIC_SPECIES
Y 88.91 Y.upf
Ni 58.69 Ni.upf
Co 58.93 Co.upf
CELL_PARAMETERS angstrom
3.8429 0.0000 0.0000
1.9214 3.3280 0.0000
1.9214 1.1093 6.7354
ATOMIC_POSITIONS angstrom
Y 5.7643 3.3280 0.7253
Y 5.7643 3.3280 4.3279
Ni 1.9214 1.1093 2.5330
Co 3.8429 2.2187 2.5168
```

=====

[2]
SiRhW2: optimized geometry, GGA-PBEsol. Values from VASP.

## Properties
SG = No. 8
V = 14.201 Å³/atom
Raw formation energy = -0.154 eV per atom
VASP energy = -10.53 eV/atom
Size of the total moment = 0.00 μB per formula unit

```
&SYSTEM
  ibrav = 0, nat = 4, ntyp = 3
/
ATOMIC_SPECIES
Rh 102.91 Rh.upf
Si 28.09 Si.upf
W 183.84 W.upf
CELL_PARAMETERS angstrom
-0.1002 -1.6579 -2.1737
4.2614 1.2405 -1.1425
0.1643 -3.0095 4.0091
ATOMIC_POSITIONS angstrom
Rh 1.9699 -0.4450 -1.4728
Si 3.3979 -0.8055 0.4577
W 4.0577 -3.2942 0.6039
W 1.3062 -2.5179 0.1388
```

=====

[3]
Cd6Pt7: optimized geometry, GGA-PBEsol. Values from VASP.

## Properties
SG = No. 166
V = 17.602 Å³/atom
Formation enthalpy at 0 K = -19.5 kJ per mole of atoms
VASP energy = -4.50 eV/atom
Size of the total moment = 0.00 μB per formula unit

```
&SYSTEM
  ibrav = 0, nat = 13, ntyp = 2
/
ATOMIC_SPECIES
Cd 112.41 Cd.upf
Pt 195.08 Pt.upf
CELL_PARAMETERS angstrom
5.4204 0.0000 0.0000
2.7102 4.6942 0.0000
2.7102 1.5647 8.9934
ATOMIC_POSITIONS angstrom
Cd 8.1305 4.6942 1.3814
Cd 2.7102 1.5647 7.6121
Cd 8.1305 4.6942 4.2180
Cd 2.7102 1.5647 4.7754
Cd 5.4204 3.1294 0.0222
Cd 5.4204 3.1294 8.9713
Pt 4.0505 2.3385 2.3591
Pt 6.7903 2.3385 2.3591
Pt 5.4204 4.7113 2.3591
Pt 6.7903 3.9204 6.6343
Pt 5.4204 1.5476 6.6343
Pt 4.0505 3.9204 6.6343
Pt 5.4204 3.1294 4.4967
```

=====

[4]
BaLaCd4: optimized geometry, GGA-PBEsol. Values from VASP.

## Properties
SG = No. 216
V = 26.547 Å³/atom
Formation enthalpy at 0 K = -27.9 kJ per mole of atoms
VASP energy = -2.34 eV/atom
Size of the total moment = 0.00 μB per formula unit

```
&SYSTEM
  ibrav = 0, nat = 6, ntyp = 3
/
ATOMIC_SPECIES
La 138.91 La.upf
Ba 137.33 Ba.upf
Cd 112.41 Cd.upf
CELL_PARAMETERS angstrom
-0.0355 -0.6253 6.0522
5.2500 -0.4427 3.0436
1.8584 4.5842 3.5430
ATOMIC_POSITIONS angstrom
La 5.3046 2.6372 9.4791
Ba 0.0000 0.0000 0.0000
Cd 2.6580 1.3214 4.7497
Cd 3.5812 3.5988 6.5099
Cd 2.6403 1.0108 7.7564
Cd 5.2661 1.1015 6.2617
```

=====

[5]
Zr2ScCd: optimized geometry, GGA-PBEsol. Values from VASP.

## Properties
Polymorph energy (0 for the lowest one) = 0.0 kJ per mole of atoms
SG = No. 99
V = 21.536 Å³/atom
Formation enthalpy at 0 K = -13.0 kJ per mole of atoms
VASP energy = -6.63 eV/atom
Size of the total moment = 0.00 μB per formula unit

```
&SYSTEM
  ibrav = 0, nat = 4, ntyp = 3
/
ATOMIC_SPECIES
Sc 44.96 Sc.upf
Zr 91.22 Zr.upf
Cd 112.41 Cd.upf
CELL_PARAMETERS angstrom
3.1473 0.0000 0.0000
0.0000 3.1473 0.0000
0.0000 0.0000 8.6968
ATOMIC_POSITIONS angstrom
Sc 1.5736 1.5736 6.4746
Zr 0.0000 0.0000 8.6784
Zr 1.5736 1.5736 2.2086
Cd 0.0000 0.0000 4.3805
```

=====

[6]
ScCd2In: optimized geometry, GGA-PBEsol. Values from VASP.

## Properties
SG = No. 38
V = 21.329 Å³/atom
Formation enthalpy at 0 K = -20.9 kJ per mole of atoms
VASP energy = -3.21 eV/atom
Size of the total moment = 0.00 μB per formula unit

```
&SYSTEM
  ibrav = 0, nat = 4, ntyp = 3
/
ATOMIC_SPECIES
Sc 44.96 Sc.upf
In 114.82 In.upf
Cd 112.41 Cd.upf
CELL_PARAMETERS angstrom
-1.0905 2.6425 1.2356
-2.3873 -2.3972 3.0197
5.2259 -1.1752 3.1985
ATOMIC_POSITIONS angstrom
Sc 2.2877 -1.2585 4.2146
In 1.9736 1.2299 2.5367
Cd -0.9484 2.4815 1.2202
Cd -0.5877 -0.0068 2.9350
```

=====

[7]
LaCrAgRh2: optimized geometry, GGA-PBEsol. Values from VASP.

## Properties
SG = No. 123
V = 22.165 Å³/atom
Formation enthalpy at 0 K = 138.3 kJ per mole of atoms
VASP energy = -5.60 eV/atom
Size of the total moment = 4.22 μB per formula unit

```
&SYSTEM
  ibrav = 0, nat = 5, ntyp = 4
/
ATOMIC_SPECIES
Cr 52.00 Cr.upf
Rh 102.91 Rh.upf
Ag 107.87 Ag.upf
La 138.91 La.upf
CELL_PARAMETERS angstrom
4.7385 0.0000 0.0000
0.0000 4.7385 0.0000
0.0000 0.0000 4.9358
ATOMIC_POSITIONS angstrom
Cr 0.0000 0.0000 2.4679
Rh 0.0000 2.3692 0.0000
Rh 2.3692 0.0000 0.0000
Ag 2.3692 2.3692 2.4679
La 0.0000 0.0000 0.0000
```

=====

[8]
SmRhO3: optimized geometry, GGA-PBEsol. Values from VASP.

## Properties
SG = No. 62
V = 11.617 Å³/atom
Raw formation energy = -2.183 eV per atom
VASP energy = -7.98 eV/atom
Size of the total moment = 0.00 μB per formula unit

```
&SYSTEM
  ibrav = 0, nat = 20, ntyp = 3
/
ATOMIC_SPECIES
Sm 150.36 Sm.upf
Rh 102.91 Rh.upf
O 16.00 O.upf
CELL_PARAMETERS angstrom
-1.6171 -4.5309 2.0569
4.5392 0.0300 3.6348
-4.1487 3.8184 5.1494
ATOMIC_POSITIONS angstrom
Sm -1.2211 0.7554 6.9485
Sm 1.5551 -3.4093 6.6118
Sm -2.7817 2.7268 4.2294
Sm -0.0056 -1.4379 3.8926
Rh -2.8829 -0.3563 3.6032
Rh 0.1953 1.9242 4.3921
Rh 2.2696 0.0150 1.8174
Rh -0.8086 -2.2655 1.0285
O -2.2966 -2.0201 4.6836
O -1.4323 0.6708 4.6360
O 1.8215 -2.8405 4.1995
O -0.5459 2.8248 8.1631
O 1.0699 1.3376 6.1575
O 0.2056 -1.3533 6.2051
O -3.0481 2.1580 6.6416
O -0.6807 -3.5073 2.6780
O -1.4677 -0.7653 2.2159
O -2.4486 -1.1090 7.3421
O 1.2219 0.4265 3.4990
O 0.2410 0.0828 8.6252
```

=====

[9]
SrFeCoCl2: optimized geometry, GGA-PBEsol. Values from VASP.

## Properties
SG = No. 123
V = 37.336 Å³/atom
Raw formation energy = 0.716 eV per atom
VASP energy = -3.79 eV/atom
Size of the total moment = 6.28 μB per formula unit

```
&SYSTEM
  ibrav = 0, nat = 5, ntyp = 4
/
ATOMIC_SPECIES
Sr 87.62 Sr.upf
Co 58.93 Co.upf
Fe 55.84 Fe.upf
Cl 35.45 Cl.upf
CELL_PARAMETERS angstrom
5.3049 0.0000 0.0000
0.0000 5.3049 0.0000
0.0000 0.0000 6.6335
ATOMIC_POSITIONS angstrom
Sr 0.0000 0.0000 0.0000
Co 2.6524 2.6524 3.3168
Fe 0.0000 0.0000 3.3168
Cl 0.0000 2.6524 0.0000
Cl 2.6524 0.0000 0.0000
```

=====

[10]
TaCo2: optimized geometry, GGA-PBEsol. Values from VASP.

## Properties
SG = No. 191
V = 12.685 Å³/atom
Formation enthalpy at 0 K = 0.5 kJ per mole of atoms
VASP energy = -9.34 eV/atom
Size of the total moment = 2.01 μB per formula unit

```
&SYSTEM
  ibrav = 0, nat = 3, ntyp = 2
/
ATOMIC_SPECIES
Co 58.93 Co.upf
Ta 180.95 Ta.upf
CELL_PARAMETERS angstrom
-2.4207 -0.9030 -0.7948
1.7892 -2.5027 -2.6062
-0.7779 -1.2255 3.7616
ATOMIC_POSITIONS angstrom
Co 0.0778 -1.6512 1.6390
Co 0.9335 -2.0769 -0.4836
Ta -1.2103 -0.4515 -0.3974
```

=====

[11]
RbBi2Au2: optimized geometry, GGA-PBEsol. Values from VASP.

## Properties
SG = No. 139
V = 29.465 Å³/atom
Formation enthalpy at 0 K = -13.8 kJ per mole of atoms
VASP energy = -3.63 eV/atom
Size of the total moment = 0.00 μB per formula unit

```
&SYSTEM
  ibrav = 0, nat = 5, ntyp = 3
/
ATOMIC_SPECIES
Au 196.97 Au.upf
Bi 208.98 Bi.upf
Rb 85.47 Rb.upf
CELL_PARAMETERS angstrom
5.0503 0.0000 0.0000
0.0000 5.0503 0.0000
-2.5251 -2.5251 5.7761
ATOMIC_POSITIONS angstrom
Au 0.0000 2.5251 2.8881
Au 2.5251 0.0000 2.8881
Bi 0.0000 0.0000 4.2137
Bi 2.5251 2.5251 1.5625
Rb 0.0000 0.0000 0.0000
```

=====

[12]
CdGePtRh2: optimized geometry, GGA-PBEsol. Values from VASP.

## Properties
SG = No. 123
V = 21.885 Å³/atom
Formation enthalpy at 0 K = 158.9 kJ per mole of atoms
VASP energy = -4.23 eV/atom
Size of the total moment = 0.00 μB per formula unit

```
&SYSTEM
  ibrav = 0, nat = 5, ntyp = 4
/
ATOMIC_SPECIES
Ge 72.64 Ge.upf
Rh 102.91 Rh.upf
Pt 195.08 Pt.upf
Cd 112.41 Cd.upf
CELL_PARAMETERS angstrom
-2.7814 2.9411 2.5167
-2.8402 0.5549 -3.7876
-2.6573 -3.7482 1.4435
ATOMIC_POSITIONS angstrom
Ge -4.1395 -0.1261 0.0863
Rh -1.4201 0.2775 -1.8938
Rh -1.3907 1.4706 1.2583
Pt -1.3287 -1.8741 0.7218
Cd 0.0000 0.0000 0.0000
```